Entry from Alexandria via LeMat-Bulk: crystalline U2Tl2O7 at its relaxed geometry (PBE).

a b c (Å): 4.335 7.235 7.417
angles (deg): 70.38 76.43 89.25
Space group P-1 (No. 2)
Inequivalent atoms, fractional coordinates:
1 U 0.165 0.498 0.205
2 Tl 0.321 0.025 0.738
3 O 0.000 0.500 0.500
4 O 0.136 0.221 0.300
5 O 0.198 0.778 0.111
6 O 0.297 0.503 0.885

## Properties
**VASP energy**: -89.36 eV/cell
**Formation energy (no corrections)**: -2.49 eV per atom